CsTbSn2I8: relaxed, PBE.

It has space group P-1 (No. 2), with a = 7.4781 Å, b = 7.8960 Å, c = 10.3515 Å, α = 83.13°, β = 83.43° and γ = 85.92°. Symmetry generates all atoms from Cs at (0.0000, 0.0000, 0.0000), Tb at (0.0000, 0.0000, 0.5000), Sn at (0.4691, 0.4830, 0.2463), I at (0.2225, 0.3202, 0.4780), I at (0.2429, 0.8362, 0.7031), I at (0.2619, 0.3915, 0.0429) and I at (0.2622, 0.8523, 0.2873).

For the calculated volume, the calculation gives 602 Å³/f.u. For the total magnetization, the calculation gives 0.000 Bohr magnetons per cell. For the energy relative to the elements, uncorrected, the calculation gives -922 meV per atom.